VASP calculation (PBE) on Cu4PBr after structural relaxation.

Structure (POSCAR):
```
Cu4PBr
1.0
0.000 3.544 3.544
3.544 0.000 3.544
3.544 3.544 0.000
Cu P Br
4 1 1
Direct
0.624 0.624 0.128
0.624 0.128 0.624
0.624 0.624 0.624
0.128 0.624 0.624
0.250 0.250 0.250
0.000 0.000 0.000
```

calculated total energy = -20.4 eV/cell
crystal system = cubic
ΔE_f (raw) = 0.503 eV per atom
total magnetization = 0.00 μB per cell

VASP calculation (PBE) on MnReBr after structural relaxation.

Structure (POSCAR):
```
MnReBr
1.0
-2.656 0.505 1.443
1.680 -2.465 0.701
2.975 3.259 4.333
Br Mn Re
1 1 1
Direct
0.000 0.000 0.026
0.667 0.333 0.346
0.333 0.667 0.628
```

calculated total energy = -21.5 eV/cell
crystal system = trigonal
ΔE to the lowest computed polymorph = 0.000 eV/atom
ΔE_f (raw) = 0.585 eV per atom
total magnetization = 2.60 μB per cell

VASP calculation (PBE) on GaCu2Hg after structural relaxation.

Structure (POSCAR):
```
GaCu2Hg
1.0
7.136 0.000 0.000
0.000 7.136 0.000
3.568 3.568 2.724
Cu Hg Ga
4 2 2
Direct
0.600 0.125 0.250
0.150 0.625 0.250
0.375 0.400 0.750
0.875 0.850 0.750
0.000 0.000 0.000
0.750 0.250 0.500
0.500 0.500 0.000
0.250 0.750 0.500
```

calculated total energy = -20.9 eV/cell
crystal system = tetragonal
ΔE to the lowest computed polymorph = 0.178 eV/atom
total magnetization = 0.00 μB per cell
formation energy = 271 meV per atom